# Cr2TcNi

A relaxed structure of Cr2TcNi (PBE, the Alexandria database).

Cell lengths 8.5299, 2.5735, 4.5453 Å; angles 90.00, 98.80, 90.00 degrees
Last column: nearest neighbours and their distance in Å.
Space group Cm (No. 8)
One atom of each set of equivalent atoms:
Cr: 0.0000 0.0000 0.0000 [2 per cell]  3 Ni 2.53-2.57, 5 Cr 2.56-2.61, 4 Tc 2.58-2.65
Cr: 0.2491 0.0000 0.7482 [2 per cell]  3 Tc 2.53-2.66, 4 Ni 2.55-2.68, 5 Cr 2.56-2.61
Tc: 0.4921 0.0000 0.4894 [2 per cell]  7 Cr 2.53-2.66, 2 Tc 2.57, 3 Ni 2.60
Ni: 0.2436 0.5000 0.2305 [2 per cell]  7 Cr 2.53-2.68, 2 Ni 2.57, 3 Tc 2.60

* calculated volume: 12.33 A^3/atom
* total DFT energy (no corrections): -69.48 eV for the cell shown
* ΔH_f (0 K): 0.16 eV/atom